Record 1
An optimized crystal structure of Tl2Zn3, computed with PBE.

Relative energy among the computed polymorphs in eV/f.u.: 0.00

Unit cell a=12.8539 b=21.7648 c=3.1801 alpha=90.00 beta=90.00 gamma=90.00
With the nearest neighbours (Å) after each atom.
Space group Fdd2 (No. 43)
Symmetry-distinct sites (fractional):
Tl: 0.1142 0.3726 0.0000 (multiplicity 16)  5 Zn 3.03-3.34, 4 Tl 3.18-3.31
Zn: 0.0000 0.0000 0.6524 (multiplicity 8)  4 Zn 2.68-2.69
Zn: 0.0818 0.2479 0.3998 (multiplicity 16)  4 Zn 2.64-2.69


Record 2
An optimized crystal structure of TlZn2, computed with PBE.

Unit cell a=3.7286 b=3.7286 c=38.7606 alpha=90.00 beta=90.00 gamma=90.00
With the nearest neighbours (Å) after each atom.
Space group I4_1/amd (No. 141, origin choice 2)
Symmetry-distinct sites (fractional):
Tl: 0.0000 0.2500 0.2868 (multiplicity 8)  4 Zn 3.02
Zn: 0.0000 0.2500 0.1254 (multiplicity 8)  8 Zn 2.64-2.71
Zn: 0.0000 0.2500 0.8248 (multiplicity 8)  4 Zn 2.68-2.71


Number 1: total moment 0.000 μB per atom, total energy -1.59 eV per atom. Number 2: total moment 0.000 μB per atom, total energy -1.49 eV per atom.